Record 1
Compound: VCr2Ge
Source: the Alexandria database
Functional: GGA-PBE
Structure: relaxed

POSCAR file:
```
VCr2Ge
1.0
3.043 0.000 0.000
0.000 3.043 0.000
0.000 0.000 5.629
Cr Ge V
2 1 1
Direct
0.000 0.000 0.753
0.000 0.000 0.247
0.500 0.500 0.500
0.500 0.500 0.000
```

Output
Density of states at the Fermi level in states/eV/f.u.: 2.52
Formation energy from the elements in eV per atom: -0.059
Space-group type: P4/mmm, No. 123

=====

Record 2
Compound: Rb2H2Se
Source: the Alexandria database
Functional: GGA-PBE
Structure: relaxed

POSCAR file:
```
Rb2H2Se
1.0
5.424 0.000 1.638
2.481 4.949 1.582
-0.002 -0.042 9.804
Rb H Se
4 4 2
Direct
0.391 0.874 0.874
0.861 0.374 0.374
0.609 0.126 0.126
0.139 0.626 0.626
0.427 0.033 0.520
0.981 0.467 0.980
0.573 0.967 0.480
0.019 0.533 0.020
0.228 0.750 0.250
0.772 0.250 0.750
```

Output
Density of states at the Fermi level in states/eV/f.u.: 0.00
Relative energy among the computed polymorphs in kJ/mol of atoms: 0.0
Space-group type: C2/c, No. 15

=====

Record 3
Compound: NaGa4Sn4
Source: the Alexandria database
Functional: GGA-PBE
Structure: relaxed

POSCAR file:
```
NaGa4Sn4
1.0
-3.480 -4.966 1.353
3.378 -0.971 5.123
-7.245 6.727 6.052
Na Ga Sn
2 8 8
Direct
0.000 0.000 0.000
0.500 0.500 0.500
0.500 0.790 0.953
0.500 0.210 0.953
0.790 0.500 0.047
0.210 0.500 0.047
0.290 0.000 0.453
0.710 0.000 0.453
0.000 0.290 0.547
0.000 0.710 0.547
0.248 0.500 0.787
0.752 0.500 0.787
0.500 0.752 0.213
0.500 0.248 0.213
0.000 0.748 0.287
0.000 0.252 0.287
0.252 0.000 0.713
0.748 0.000 0.713
```

Output
Density of states at the Fermi level in states/eV/f.u.: 3.64
Formation energy from the elements in eV per atom: -0.010
Space-group type: P4_2/nmc, No. 137

=====

Record 4
Compound: PmPu2ScSe4
Source: the Alexandria database
Functional: GGA-PBE
Structure: relaxed

POSCAR file:
```
PmPu2ScSe4
1.0
-1.345 -0.082 -3.858
5.338 -4.445 -1.766
-5.594 -3.749 2.030
Pm Pu Sc Se
1 2 1 4
Direct
0.500 0.500 0.000
0.500 0.000 0.500
0.000 0.500 0.500
0.000 0.000 0.000
0.500 0.236 0.238
0.500 0.764 0.762
0.000 0.239 0.753
0.000 0.761 0.247
```

Output
Density of states at the Fermi level in states/eV/f.u.: 18.07
Raw formation energy in eV per atom: -1.6103
Space-group type: P2/m, No. 10

=====

Record 5
Compound: TiReBi2
Source: the Alexandria database
Functional: GGA-PBE
Structure: relaxed

POSCAR file:
```
TiReBi2
1.0
-3.375 2.728 -0.321
-2.703 -3.388 -0.382
-4.143 -0.549 9.415
Re Bi Ti
2 4 2
Direct
0.000 0.000 0.000
0.750 0.250 0.500
0.628 0.125 0.250
0.122 0.625 0.250
0.375 0.372 0.750
0.875 0.878 0.750
0.500 0.500 0.000
0.250 0.750 0.500
```

Output
Density of states at the Fermi level in states/eV/f.u.: 3.88
Formation energy from the elements in eV per atom: 0.890
Relative energy among the computed polymorphs in kJ/mol of atoms: 31.1
Space-group type: I-42d, No. 122

=====

Record 6
Compound: Zr2TcRu
Source: the Alexandria database
Functional: GGA-PBE
Structure: relaxed

POSCAR file:
```
Zr2TcRu
1.0
3.284 0.000 0.000
0.000 3.284 0.000
0.000 0.000 6.572
Ru Tc Zr
1 1 2
Direct
0.500 0.500 0.250
0.500 0.500 0.750
0.000 0.000 0.998
0.000 0.000 0.502
```

Output
Density of states at the Fermi level in states/eV/f.u.: 4.24
Formation energy from the elements in eV per atom: -0.515
Space-group type: P4/mmm, No. 123

=====

Record 7
Compound: Ba2ScRh
Source: the Alexandria database
Functional: GGA-PBE
Structure: relaxed

POSCAR file:
```
Ba2ScRh
1.0
9.913 0.009 0.061
9.274 3.502 0.061
0.848 0.155 4.076
Ba Rh Sc
2 1 1
Direct
0.099 0.099 0.900
0.401 0.401 0.600
0.750 0.750 0.750
0.250 0.250 0.250
```

Output
Density of states at the Fermi level in states/eV/f.u.: 3.86
Formation energy from the elements in eV per atom: -0.134
Relative energy among the computed polymorphs in kJ/mol of atoms: 6.7
Space-group type: Immm, No. 71

=====

Record 8
Compound: SmTmCCl
Source: the Alexandria database
Functional: GGA-PBE
Structure: relaxed

POSCAR file:
```
SmTmCCl
1.0
3.639 0.000 0.000
-1.819 3.152 0.000
-1.819 -1.050 6.937
Sm Tm C Cl
1 1 1 1
Direct
0.510 0.153 0.679
0.094 0.945 0.055
0.315 0.556 0.886
0.958 0.377 0.350
```

Output
Density of states at the Fermi level in states/eV/f.u.: 2.10
Raw formation energy in eV per atom: -1.0712
Space-group type: R3m, No. 160

=====

Record 9
Compound: Tm2UTl2Te6
Source: the Alexandria database
Functional: GGA-PBE
Structure: relaxed

POSCAR file:
```
Tm2UTl2Te6
1.0
-0.831 -7.517 -0.170
5.119 3.143 4.599
-7.128 1.960 4.511
Tm U Tl Te
2 1 2 6
Direct
0.332 0.668 0.500
0.668 0.332 0.500
0.000 0.000 0.500
0.834 0.166 0.000
0.166 0.834 0.000
0.735 0.735 0.710
0.072 0.405 0.712
0.265 0.265 0.290
0.405 0.072 0.712
0.928 0.595 0.288
0.595 0.928 0.288
```

Output
Density of states at the Fermi level in states/eV/f.u.: 7.57
Raw formation energy in eV per atom: -0.9094
Space-group type: C2/m, No. 12

=====

Record 10
Compound: RbMgF2
Source: the Alexandria database
Functional: GGA-PBE
Structure: relaxed

POSCAR file:
```
RbMgF2
1.0
2.055 0.000 7.508
-1.027 1.780 7.508
-1.027 -1.780 7.508
Mg Rb F
1 1 2
Direct
0.500 0.500 0.500
0.000 0.000 0.000
0.872 0.872 0.872
0.128 0.128 0.128
```

Output
Density of states at the Fermi level in states/eV/f.u.: 1.64
Relative energy among the computed polymorphs in kJ/mol of atoms: 17.7
Raw formation energy in eV per atom: -2.2226
Space-group type: R-3m, No. 166